Record 1
The following is a DFT calculation (PBE-GGA) of a geometry-optimized CaGaAuN2 structure.

The structure in POSCAR format:
```
CaGaAuN2
1.0
4.244 0.000 0.000
0.000 5.427 0.000
0.000 0.000 4.244
Ca Au Ga N
1 1 1 2
Direct
0.000 0.500 0.000 Ca
0.000 0.000 0.000 Au
0.500 0.500 0.500 Ga
0.000 0.000 0.500 N
0.500 0.000 0.000 N
```

Output
D(E_F), states/eV/cell: 3.09
Uncorrected formation energy, eV/atom: 1.376
SG: No. 123
Mass density, g cm⁻³: 5.7
Uncorrected energy, eV per atom: -3.615

---

Record 2
The following is a DFT calculation (PBE-GGA) of a geometry-optimized NaCa2Ga3Au4 structure.

The structure in POSCAR format:
```
NaCa2Ga3Au4
1.0
-3.141 3.094 0.495
-3.132 -3.083 -0.604
-0.195 -1.958 11.010
Na Ca Ga Au
1 2 3 4
Direct
0.500 0.500 0.500 Na
0.500 0.000 0.230 Ca
0.000 0.500 0.770 Ca
0.000 0.000 0.500 Ga
0.500 0.000 0.874 Ga
0.000 0.500 0.126 Ga
0.500 0.500 0.000 Au
0.000 0.000 0.000 Au
0.500 0.000 0.649 Au
0.000 0.500 0.351 Au
```

Output
D(E_F), states/eV/cell: 6.13
SG: No. 115
Formation energy, eV per formula unit: -5.1
Mass density, g cm⁻³: 8.3
Uncorrected energy, eV per atom: -3.259

---

Record 3
The following is a DFT calculation (PBE-GGA) of a geometry-optimized NaCaGaAu structure.

The structure in POSCAR format:
```
NaCaGaAu
1.0
4.952 0.000 0.000
2.476 4.288 0.000
2.476 1.429 4.043
Na Ca Au Ga
1 1 1 1
Direct
0.500 0.500 0.500 Na
0.250 0.250 0.250 Ca
0.000 0.000 0.000 Au
0.750 0.750 0.750 Ga
```

Output
D(E_F), states/eV/cell: 1.91
SG: No. 216
Formation energy, eV per formula unit: -1.4
Mass density, g cm⁻³: 6.4
Uncorrected energy, eV per atom: -2.768

---

- D(E_F) of number 3 (NaCaGaAu)?
  1.91 states/eV/cell